DFT (PBE) results for crystalline Ce2HoUN4 at its relaxed geometry.

Computed properties:
uncorrected formation energy	-148.0	kJ/mol of atoms
SG	P2/m (10)

```
data_Ce2HoUN4
_symmetry_space_group_name_H-M 'P 1'
_symmetry_Int_Tables_number 1
_cell_length_a 3.4979
_cell_length_b 5.9896
_cell_length_c 6.1137
_cell_angle_alpha 109.06
_cell_angle_beta 90.00
_cell_angle_gamma 90.00
loop_
_symmetry_equiv_pos_as_xyz
'x,y,z'
loop_
_atom_site_label
_atom_site_fract_x
_atom_site_fract_y
_atom_site_fract_z
Ce1 0.5000 0.0000 0.5000
Ce2 0.0000 0.5000 0.5000
Ho1 0.5000 0.5000 0.0000
U1 0.0000 0.0000 0.0000
N1 0.5000 0.2293 0.2203
N2 0.5000 0.7707 0.7797
N3 0.0000 0.2386 0.7746
N4 0.0000 0.7614 0.2254
```

***

DFT (PBE) results for crystalline OsAuBr2 at its relaxed geometry.

Computed properties:
uncorrected formation energy	72.7	kJ/mol of atoms
SG	C2/m (12)
energy relative to the lowest polymorph listed for this composition	325	meV/atom

```
data_OsAuBr2
_symmetry_space_group_name_H-M 'P 1'
_symmetry_Int_Tables_number 1
_cell_length_a 3.6629
_cell_length_b 3.6629
_cell_length_c 8.8510
_cell_angle_alpha 85.43
_cell_angle_beta 85.43
_cell_angle_gamma 60.17
loop_
_symmetry_equiv_pos_as_xyz
'x,y,z'
loop_
_atom_site_label
_atom_site_fract_x
_atom_site_fract_y
_atom_site_fract_z
Os1 0.7500 0.7500 0.7500
Au1 0.2500 0.2500 0.2500
Br1 0.0650 0.0650 0.9044
Br2 0.4350 0.4350 0.5956
```